TaMn: relaxed, GGA-PBE.

Fermi-level density of states ... 0.85 states/eV per atom
Magnetic moment ... 1.09 μB per formula unit
Formation energy ... 655 meV per atom

Cell lengths 3.573, 3.573, 3.573 Å; angles 60.00, 60.00, 60.00 degrees
Positions (direct):
1 Mn 0.000 0.000 0.000
2 Ta 0.500 0.500 0.500